Record 1
DFT (PBE) results for an optimized crystal structure of PrHo7Sc2.

Lattice parameters (Å, degrees): 5.5834 8.7285 8.7284 119.71 90.00 90.00
Closest atoms and distances in Å follow each position.
Positions (direct):
Pr (0.0000, 0.0000, 0.0000)  10 Ho 3.65-3.70
Ho (0.0000, 0.7585, 0.2415)  2 Sc 2.91
Ho (0.0000, 0.2415, 0.7585)  2 Sc 2.91
Ho (0.5000, 0.0587, 0.3031)  2 Sc 3.06-3.07, 2 Ho 3.17-3.35
Ho (0.5000, 0.9413, 0.6969)  2 Sc 3.06-3.07, 2 Ho 3.17-3.35
Ho (0.5000, 0.3031, 0.0587)  2 Sc 3.06-3.07, 2 Ho 3.17-3.35
Ho (0.5000, 0.6969, 0.9413)  2 Sc 3.06-3.07, 2 Ho 3.17-3.35
Ho (0.5000, 0.5000, 0.5000)  2 Sc 3.07, 4 Ho 3.35
Sc (0.5000, 0.7035, 0.2965)  7 Ho 2.91-3.07
Sc (0.5000, 0.2965, 0.7035)  7 Ho 2.91-3.07

Computed properties:
Magnetic moment ... 0.00 μB/f.u.
ΔE_f ... 0.660 eV per atom
Energy ... -4.289 eV/atom

***

Record 2
DFT (PBE) results for an optimized crystal structure of Pr4Ho3Sc2.

Lattice parameters (Å, degrees): 3.5641 3.5641 26.3320 90.00 90.00 120.00
Closest atoms and distances in Å follow each position.
Positions (direct):
Pr (0.0000, 0.0000, 0.5502)  9 Pr 3.56-3.81, 3 Ho 3.57
Pr (0.6667, 0.3333, 0.4285)  9 Pr 3.56-3.81, 3 Ho 3.61
Pr (0.6667, 0.3333, 0.2058)  1 Sc 3.32, 3 Ho 3.55, 6 Pr 3.56
Pr (0.0000, 0.0000, 0.7748)  3 Sc 3.46, 6 Pr 3.56, 3 Ho 3.63
Ho (0.0000, 0.0000, 0.9807)  6 Sc 3.33-3.35, 6 Ho 3.56
Ho (0.0000, 0.0000, 0.3157)  6 Pr 3.55-3.61, 6 Ho 3.56
Ho (0.6667, 0.3333, 0.6610)  6 Ho 3.56, 6 Pr 3.57-3.63
Sc (0.6667, 0.3333, 0.0799)  1 Pr 3.32, 3 Ho 3.33, 6 Sc 3.56
Sc (0.6667, 0.3333, 0.8805)  3 Ho 3.35, 3 Pr 3.46, 6 Sc 3.56

Computed properties:
Magnetic moment ... 0.46 μB/f.u.
ΔE_f ... 0.094 eV per atom
Offset from the most stable computed form ... 0.0034 eV/atom
Energy ... -4.963 eV/atom